one) Crystalline Cr2IrBr at its relaxed geometry, computed with GGA-PBEsol.

a = 4.2381 Å, b = 4.2381 Å, c = 4.2381 Å
α = 60.00°, β = 60.00°, γ = 60.00°
Closest atoms and distances in Å follow each position.
Fractional coordinates of all 4 atoms:
Cr  0.2500  0.2500  0.2500  4 Br 2.60, 4 Ir 2.60
Cr  0.7500  0.7500  0.7500  4 Br 2.60, 4 Ir 2.60
Br  0.0000  0.0000  0.0000  8 Cr 2.60
Ir  0.5000  0.5000  0.5000  8 Cr 2.60

## Properties
- V (Å³/cell) = 53.8
- DOS(E_F) (states/eV per cell) = 5.01


two) Crystalline Cr2IrBr at its relaxed geometry, computed with GGA-PBEsol.

a = 2.9987 Å, b = 3.0833 Å, c = 6.7882 Å
α = 90.00°, β = 90.00°, γ = 90.00°
Closest atoms and distances in Å follow each position.
Fractional coordinates of all 4 atoms:
Cr  0.5000  0.5000  0.2498  4 Ir 2.47, 4 Cr 2.61
Cr  0.0000  0.0000  0.0327  4 Cr 2.61, 1 Ir 2.68, 4 Br 2.71
Br  0.5000  0.5000  0.7893  4 Cr 2.71, 2 Br 3.00
Ir  0.0000  0.0000  0.4282  5 Cr 2.47-2.68

## Properties
- V (Å³/cell) = 62.8
- DOS(E_F) (states/eV per cell) = 4.57


Stability check: which of them is most stable? two).